Li3Ac2Cu6 (PBE, optimized geometry); energy = -39.18 eV/cell; volume = 19.3 A^3/atom; energy of formation from the pure elements = -59 meV per atom
1.0
-1.280 -2.941 2.553
-4.277 -2.821 -5.394
6.787 -3.046 -0.107
Ac Cu Li
2 6 3
direct
0.000 0.689 0.311
0.000 0.311 0.689
0.500 0.341 0.020
0.500 0.643 0.643
0.500 0.357 0.357
0.500 0.020 0.341
0.500 0.980 0.659
0.500 0.659 0.980
0.000 0.820 0.820
0.000 0.180 0.180
0.500 0.000 0.000